Computed, not measured: an optimized crystal structure of UTa2Se6 at the PBE-GGA level of DFT.

Unit cell a=4.757 b=6.896 c=8.371 alpha=76.07 beta=73.49 gamma=69.83
Site moments in Bohr magnetons follow the coordinates.
Sites, in units of the cell vectors:
U 0.000 0.500 0.500  2.07
Ta 0.138 0.790 0.934  0.05
Ta 0.862 0.210 0.066  0.05
Se 0.714 0.642 0.930  -0.02
Se 0.286 0.358 0.070  -0.02
Se 0.953 0.856 0.237  -0.02
Se 0.353 0.672 0.622  -0.08
Se 0.047 0.144 0.763  -0.02
Se 0.647 0.328 0.378  -0.08

Output
Energy relative to the elements, uncorrected ... -0.654 eV per atom
Relative energy among the computed polymorphs ... 226.8 meV per atom
DOS(E_F) ... 8.66 states/eV/cell
Magnetization ... 2.0 μB per formula unit
E_tot ... -61.8 eV per cell

Computed, not measured: an optimized crystal structure of SmGeHRu at the PBE-GGA level of DFT.

Unit cell a=4.163 b=4.163 c=7.398 alpha=90.00 beta=90.00 gamma=90.00
Sites, in units of the cell vectors:
Sm 0.500 0.000 0.662
Sm 0.000 0.500 0.338
Ge 0.000 0.500 0.821
Ge 0.500 0.000 0.179
H 0.000 0.000 0.500
H 0.500 0.500 0.500
Ru 0.500 0.500 0.000
Ru 0.000 0.000 0.000

Output
DOS(E_F) ... 3.48 states/eV/cell
Magnetization ... 0.0 μB per formula unit
E_tot ... -49.3 eV per cell

Computed, not measured: an optimized crystal structure of CsInSe2 at the PBE-GGA level of DFT.

Unit cell a=20.103 b=4.973 c=10.317 alpha=90.00 beta=144.58 gamma=90.00
Sites, in units of the cell vectors:
Cs 0.200 0.982 0.848
Cs 0.800 0.018 0.152
Cs 0.300 0.482 0.652
Cs 0.700 0.518 0.348
Se 0.971 0.179 0.803
Se 0.029 0.821 0.197
Se 0.529 0.679 0.697
Se 0.471 0.321 0.303
Se 0.016 0.545 0.377
Se 0.984 0.455 0.623
Se 0.484 0.045 0.123
Se 0.516 0.955 0.877
In 0.622 0.838 0.562
In 0.378 0.162 0.438
In 0.878 0.338 0.938
In 0.122 0.662 0.062

Output
Energy relative to the elements, uncorrected ... -0.568 eV per atom
DOS(E_F) ... 0.00 states/eV/cell
Magnetization ... 0.0 μB per formula unit
E_tot ... -51.3 eV per cell

Computed, not measured: an optimized crystal structure of BeHgRh4 at the PBE-GGA level of DFT.

Unit cell a=5.132 b=5.132 c=5.132 alpha=60.00 beta=60.00 gamma=60.00
Sites, in units of the cell vectors:
Be 0.750 0.750 0.750
Hg 0.000 0.000 0.000
Rh 0.874 0.375 0.375
Rh 0.375 0.375 0.874
Rh 0.375 0.874 0.375
Rh 0.375 0.375 0.375

Output
Formation energy ... 0.4311 eV/atom
DOS(E_F) ... 10.03 states/eV/cell
Magnetization ... 0.1 μB per formula unit
E_tot ... -30.8 eV per cell

Computed, not measured: an optimized crystal structure of ZrUPb2O8 at the PBE-GGA level of DFT.

Unit cell a=5.210 b=5.205 c=6.892 alpha=90.00 beta=90.00 gamma=91.34
Sites, in units of the cell vectors:
Zr 0.000 0.000 0.500
U 0.000 0.000 0.000
Pb 0.500 0.500 0.743
Pb 0.500 0.500 0.257
O 0.173 0.826 0.247
O 0.718 0.720 0.000
O 0.827 0.174 0.247
O 0.827 0.174 0.753
O 0.282 0.280 0.000
O 0.173 0.826 0.753
O 0.709 0.710 0.500
O 0.291 0.290 0.500

Output
Energy relative to the elements, uncorrected ... -2.194 eV per atom
DOS(E_F) ... 3.06 states/eV/cell
Magnetization ... 0.0 μB per formula unit
E_tot ... -93.3 eV per cell

Computed, not measured: an optimized crystal structure of Zn2Cu7As2Au at the PBE-GGA level of DFT.

Unit cell a=3.871 b=3.871 c=12.752 alpha=72.67 beta=72.67 gamma=91.97
Sites, in units of the cell vectors:
Zn 0.816 0.816 0.683
Zn 0.184 0.184 0.317
Cu 0.500 0.500 0.000
Cu 0.252 0.252 0.500
Cu 0.748 0.748 0.500
Cu 0.839 0.339 0.162
Cu 0.339 0.839 0.162
Cu 0.661 0.161 0.838
Cu 0.161 0.661 0.838
As 0.688 0.688 0.314
As 0.312 0.312 0.686
Au 0.000 0.000 0.000

Output
Formation energy ... 0.0367 eV/atom
DOS(E_F) ... 4.31 states/eV/cell
Magnetization ... 0.0 μB per formula unit
E_tot ... -43.4 eV per cell

Computed, not measured: an optimized crystal structure of TlCl5 at the PBE-GGA level of DFT.

Unit cell a=5.976 b=5.976 c=5.976 alpha=60.00 beta=60.00 gamma=60.00
Site moments in Bohr magnetons follow the coordinates.
Sites, in units of the cell vectors:
Tl 0.000 0.000 0.000  0.01
Cl 0.250 0.250 0.250  0.34
Cl 0.624 0.624 0.624  -0.11
Cl 0.624 0.624 0.127  -0.11
Cl 0.127 0.624 0.624  -0.11
Cl 0.624 0.127 0.624  -0.11

Output
Energy relative to the elements, uncorrected ... 0.255 eV per atom
Relative energy among the computed polymorphs ... 641.6 meV per atom
DOS(E_F) ... 10.17 states/eV/cell
Magnetization ... 0.1 μB per formula unit
E_tot ... -10.1 eV per cell

Computed, not measured: an optimized crystal structure of Co2TcHBr at the PBE-GGA level of DFT.

Unit cell a=3.583 b=5.029 c=3.583 alpha=90.00 beta=90.00 gamma=90.00
Site moments in Bohr magnetons follow the coordinates.
Sites, in units of the cell vectors:
H 0.000 0.000 0.000  0.00
Co 0.000 0.000 0.500  1.96
Co 0.500 0.000 0.000  1.74
Tc 0.500 0.500 0.500  1.73
Br 0.000 0.500 0.000  0.16

Output
DOS(E_F) ... 7.62 states/eV/cell
Magnetization ... 5.7 μB per formula unit
E_tot ... -25.0 eV per cell

Computed, not measured: an optimized crystal structure of Ce4PmY3Te8 at the PBE-GGA level of DFT.

Unit cell a=8.829 b=8.940 c=8.826 alpha=119.56 beta=120.01 gamma=90.00
Site moments in Bohr magnetons follow the coordinates.
Sites, in units of the cell vectors:
Ce 0.500 0.000 0.000  0.96
Ce 0.500 0.000 0.500  1.02
Ce 0.000 0.000 0.000  1.02
Ce 0.000 0.000 0.500  1.02
Pm 0.000 0.500 0.000  0.00
Y 0.500 0.500 0.000  0.01
Y 0.500 0.500 0.500  0.01
Y 0.000 0.500 0.500  0.01
Te 0.249 0.742 0.993  -0.01
Te 0.249 0.742 0.499  -0.01
Te 0.254 0.261 0.507  -0.01
Te 0.743 0.742 0.993  -0.01
Te 0.257 0.258 0.007  -0.01
Te 0.746 0.739 0.493  -0.01
Te 0.751 0.258 0.501  -0.01
Te 0.751 0.258 0.007  -0.01

Output
Energy relative to the elements, uncorrected ... -1.361 eV per atom
DOS(E_F) ... 30.62 states/eV/cell
Magnetization ... 5.0 μB per formula unit
E_tot ... -94.8 eV per cell

Computed, not measured: an optimized crystal structure of CsAg3P at the PBE-GGA level of DFT.

Unit cell a=5.136 b=5.136 c=5.136 alpha=90.00 beta=90.00 gamma=90.00
Sites, in units of the cell vectors:
Cs 0.500 0.500 0.500
P 0.000 0.000 0.000
Ag 0.000 0.500 0.000
Ag 0.000 0.000 0.500
Ag 0.500 0.000 0.000

Output
Formation energy ... 0.1173 eV/atom
Relative energy among the computed polymorphs ... 0.0 meV per atom
DOS(E_F) ... 2.27 states/eV/cell
Magnetization ... 0.0 μB per formula unit
E_tot ... -14.2 eV per cell

Computed, not measured: an optimized crystal structure of Ba2ScCuHg at the PBE-GGA level of DFT.

Unit cell a=6.280 b=6.280 c=4.974 alpha=90.00 beta=90.00 gamma=90.00
Sites, in units of the cell vectors:
Sc 0.000 0.000 0.500
Hg 0.500 0.500 0.500
Cu 0.000 0.000 0.000
Ba 0.000 0.500 0.000
Ba 0.500 0.000 0.000

Output
Formation energy ... 0.1113 eV/atom
DOS(E_F) ... 8.28 states/eV/cell
Magnetization ... 0.0 μB per formula unit
E_tot ... -14.0 eV per cell

Computed, not measured: an optimized crystal structure of Sr2LaPt at the PBE-GGA level of DFT.

Unit cell a=5.456 b=5.456 c=8.322 alpha=72.23 beta=72.23 gamma=43.01
Sites, in units of the cell vectors:
La 0.564 0.564 0.375
Pt 0.277 0.277 0.375
Sr 0.913 0.913 0.063
Sr 0.746 0.746 0.686

Output
Formation energy ... -0.4659 eV/atom
Relative energy among the computed polymorphs ... 140.5 meV per atom
DOS(E_F) ... 3.99 states/eV/cell
Magnetization ... 0.0 μB per formula unit
E_tot ... -16.2 eV per cell

Computed, not measured: an optimized crystal structure of LaThScAl at the PBE-GGA level of DFT.

Unit cell a=5.391 b=5.391 c=5.391 alpha=60.00 beta=60.00 gamma=60.00
Sites, in units of the cell vectors:
Sc 0.750 0.750 0.750
Al 0.250 0.250 0.250
Th 0.500 0.500 0.500
La 0.000 0.000 0.000

Output
Formation energy ... -0.0290 eV/atom
DOS(E_F) ... 4.90 states/eV/cell
Magnetization ... 0.0 μB per formula unit
E_tot ... -22.5 eV per cell

Computed, not measured: an optimized crystal structure of LaAs2 at the PBE-GGA level of DFT.

Unit cell a=16.634 b=16.634 c=16.634 alpha=165.26 beta=165.26 gamma=20.90
Sites, in units of the cell vectors:
As 0.750 0.750 0.000
As 0.250 0.250 0.000
As 0.000 0.500 0.500
As 0.500 0.000 0.500
As 0.604 0.604 0.000
As 0.396 0.396 0.000
As 0.854 0.354 0.500
As 0.646 0.146 0.500
La 0.931 0.931 0.000
La 0.069 0.069 0.000
La 0.181 0.681 0.500
La 0.319 0.819 0.500

Output
Formation energy ... -1.0224 eV/atom
DOS(E_F) ... 3.73 states/eV/cell
Magnetization ... 0.0 μB per formula unit
E_tot ... -69.2 eV per cell

Computed, not measured: an optimized crystal structure of Np3Ni5Te12 at the PBE-GGA level of DFT.

Unit cell a=14.086 b=14.086 c=14.086 alpha=109.47 beta=109.47 gamma=109.47
Site moments in Bohr magnetons follow the coordinates.
Sites, in units of the cell vectors:
Np 0.750 0.375 0.125  3.66
Np 0.875 0.750 0.125  3.66
Np 0.375 0.750 0.625  3.66
Np 0.250 0.125 0.375  3.66
Np 0.875 0.125 0.250  3.66
Np 0.375 0.625 0.250  3.66
Np 0.625 0.375 0.750  3.66
Np 0.125 0.875 0.750  3.66
Np 0.750 0.875 0.625  3.66
Np 0.625 0.250 0.375  3.66
Np 0.125 0.250 0.875  3.66
Np 0.250 0.625 0.875  3.66
Ni 0.125 0.375 0.250  -0.06
Ni 0.000 0.500 0.000  0.03
Ni 0.000 0.000 0.000  0.03
Ni 0.375 0.250 0.125  -0.06
Ni 0.500 0.000 0.500  0.03
Ni 0.500 0.500 0.000  0.03
Ni 0.125 0.750 0.375  -0.06
Ni 0.750 0.125 0.875  -0.06
Ni 0.750 0.625 0.375  -0.06
Ni 0.375 0.125 0.750  -0.06
Ni 0.625 0.875 0.250  -0.06
Ni 0.500 0.500 0.500  0.03
Ni 0.500 0.000 0.000  0.03
Ni 0.000 0.000 0.500  0.03
Ni 0.250 0.375 0.625  -0.06
Ni 0.250 0.875 0.125  -0.06
Ni 0.000 0.500 0.500  0.03
Ni 0.875 0.250 0.625  -0.06
Ni 0.625 0.750 0.875  -0.06
Ni 0.875 0.625 0.750  -0.06
Te 0.705 0.117 0.029  -0.07
Te 0.324 0.529 0.412  -0.07
Te 0.971 0.383 0.295  -0.07
Te 0.529 0.205 0.117  -0.07
Te 0.588 0.705 0.676  -0.07
Te 0.971 0.588 0.176  -0.07
Te 0.324 0.795 0.412  -0.07
Te 0.088 0.912 0.117  -0.07
Te 0.588 0.971 0.676  -0.07
Te 0.705 0.588 0.176  -0.07
Te 0.795 0.471 0.383  -0.07
Te 0.824 0.912 0.029  -0.07
Te 0.117 0.705 0.529  -0.07
Te 0.383 0.412 0.088  -0.07
Te 0.088 0.912 0.383  -0.07
Te 0.412 0.117 0.588  -0.07
Te 0.088 0.176 0.205  -0.07
Te 0.471 0.676 0.088  -0.07
Te 0.824 0.912 0.295  -0.07
Te 0.117 0.412 0.088  -0.07
Te 0.383 0.971 0.795  -0.07
Te 0.588 0.617 0.412  -0.07
Te 0.912 0.824 0.529  -0.07
Te 0.795 0.324 0.912  -0.07
Te 0.412 0.383 0.588  -0.07
Te 0.088 0.176 0.471  -0.07
Te 0.205 0.676 0.088  -0.07
Te 0.176 0.088 0.705  -0.07
Te 0.617 0.029 0.205  -0.07
Te 0.883 0.588 0.912  -0.07
Te 0.529 0.324 0.912  -0.07
Te 0.588 0.883 0.412  -0.07
Te 0.912 0.824 0.795  -0.07
Te 0.912 0.088 0.617  -0.07
Te 0.883 0.295 0.471  -0.07
Te 0.176 0.088 0.971  -0.07
Te 0.617 0.588 0.912  -0.07
Te 0.412 0.029 0.324  -0.07
Te 0.295 0.412 0.824  -0.07
Te 0.205 0.529 0.617  -0.07
Te 0.912 0.088 0.883  -0.07
Te 0.676 0.205 0.588  -0.07
Te 0.471 0.795 0.883  -0.07
Te 0.029 0.412 0.824  -0.07
Te 0.412 0.295 0.324  -0.07
Te 0.029 0.617 0.705  -0.07
Te 0.676 0.471 0.588  -0.07
Te 0.295 0.883 0.971  -0.07

Output
Energy relative to the elements, uncorrected ... -0.280 eV per atom
DOS(E_F) ... 155.85 states/eV/cell
Magnetization ... 10.1 μB per formula unit
E_tot ... -444.1 eV per cell

Computed, not measured: an optimized crystal structure of MgSc3 at the PBE-GGA level of DFT.

Unit cell a=3.252 b=3.252 c=10.630 alpha=90.00 beta=90.00 gamma=120.00
Sites, in units of the cell vectors:
Sc 0.000 0.000 0.008
Sc 0.000 0.000 0.492
Sc 0.333 0.667 0.250
Mg 0.333 0.667 0.750

Output
Formation energy ... 0.0255 eV/atom
Relative energy among the computed polymorphs ... 35.7 meV per atom
DOS(E_F) ... 6.27 states/eV/cell
Magnetization ... 0.0 μB per formula unit
E_tot ... -20.5 eV per cell

Computed, not measured: an optimized crystal structure of MnCrCuBi2 at the PBE-GGA level of DFT.

Unit cell a=5.207 b=4.753 c=5.207 alpha=90.00 beta=90.00 gamma=90.00
Site moments in Bohr magnetons follow the coordinates.
Sites, in units of the cell vectors:
Cr 0.000 0.500 0.000  3.88
Mn 0.500 0.500 0.500  4.21
Bi 0.000 0.000 0.500  -0.17
Bi 0.500 0.000 0.000  -0.20
Cu 0.000 0.000 0.000  0.06

Output
Formation energy ... 0.8907 eV/atom
DOS(E_F) ... 3.74 states/eV/cell
Magnetization ... 8.6 μB per formula unit
E_tot ... -26.2 eV per cell

Computed, not measured: an optimized crystal structure of Sn6RuRh3 at the PBE-GGA level of DFT.

Unit cell a=7.067 b=6.656 c=8.829 alpha=90.00 beta=90.98 gamma=90.00
Sites, in units of the cell vectors:
Sn 0.659 0.152 0.929
Sn 0.657 0.151 0.569
Sn 0.691 0.503 0.253
Sn 0.309 0.497 0.747
Sn 0.343 0.849 0.431
Sn 0.341 0.848 0.071
Sn 0.159 0.348 0.429
Sn 0.157 0.349 0.069
Sn 0.191 0.997 0.753
Sn 0.809 0.003 0.247
Sn 0.843 0.651 0.931
Sn 0.841 0.652 0.571
Ru 0.500 0.500 0.500
Ru 0.000 0.000 0.000
Rh 0.532 0.835 0.747
Rh 0.500 0.500 0.000
Rh 0.468 0.165 0.253
Rh 0.032 0.665 0.247
Rh 0.000 0.000 0.500
Rh 0.968 0.335 0.753

Output
Formation energy ... -0.2531 eV/atom
DOS(E_F) ... 8.74 states/eV/cell
Magnetization ... 0.0 μB per formula unit
E_tot ... -115.8 eV per cell